1.
A plane-wave DFT calculation with GGA-PBE was carried out for LaSm2Ga2Ag2 after structural relaxation.

DFT total energy, eV per formula unit: -28.90
D(E_F), states/eV per atom: 0.643
Calculated volume, Å³/cell: 530.0
Total magnetic moment, μB/cell: 0.00

Unit cell a=4.7044 b=4.7044 c=27.6522 alpha=90.00 beta=90.00 gamma=120.00
Closest atoms and distances in Å follow each position.
Space group R-3m (No. 166, hexagonal axes)
Unique sites:
La: 0.0000 0.0000 0.0000 (multiplicity 3)  6 Ag 3.35, 6 Ga 3.46, 2 Sm 3.50
Sm: 0.0000 0.0000 0.1267 (multiplicity 6)  3 Ga 3.04, 3 Ag 3.13
Ga: 0.0000 0.0000 0.2559 (multiplicity 6)  3 Ag 2.72, 3 Sm 3.04
Ag: 0.0000 0.0000 0.4040 (multiplicity 6)  3 Ga 2.72

2.
A plane-wave DFT calculation with GGA-PBE was carried out for SrLaGaAg after structural relaxation.

DFT total energy, eV per formula unit: -13.91
D(E_F), states/eV per atom: 0.910
Calculated volume, Å³/cell: 455.0
Total magnetic moment, μB/cell: 0.00

Unit cell a=7.6915 b=7.6915 c=7.6915 alpha=90.00 beta=90.00 gamma=90.00
Closest atoms and distances in Å follow each position.
Space group F-43m (No. 216)
Unique sites:
Sr: 0.0000 0.0000 0.0000 (multiplicity 4)  4 Ga 3.33, 4 Ag 3.33
La: 0.0000 0.0000 0.5000 (multiplicity 4)  4 Ag 3.33, 4 Ga 3.33
Ga: 0.2500 0.2500 0.2500 (multiplicity 4)  4 La 3.33, 4 Sr 3.33
Ag: 0.2500 0.2500 0.7500 (multiplicity 4)  4 La 3.33, 4 Sr 3.33

3.
A plane-wave DFT calculation with GGA-PBE was carried out for LaTbGaAg after structural relaxation.

DFT total energy, eV per formula unit: -17.11
D(E_F), states/eV per atom: 0.968
Calculated volume, Å³/cell: 413.7
Total magnetic moment, μB/cell: 0.01

Unit cell a=7.4511 b=7.4511 c=7.4511 alpha=90.00 beta=90.00 gamma=90.00
Closest atoms and distances in Å follow each position.
Space group F-43m (No. 216)
Unique sites:
La: 0.0000 0.0000 0.0000 (multiplicity 4)  4 Ag 3.23, 4 Ga 3.23
Tb: 0.0000 0.0000 0.5000 (multiplicity 4)  4 Ga 3.23, 4 Ag 3.23
Ga: 0.2500 0.2500 0.2500 (multiplicity 4)  4 Tb 3.23, 4 La 3.23
Ag: 0.2500 0.2500 0.7500 (multiplicity 4)  4 Tb 3.23, 4 La 3.23

4.
A plane-wave DFT calculation with GGA-PBE was carried out for LaGaAg2Te after structural relaxation.

DFT total energy, eV per formula unit: -14.96
D(E_F), states/eV per atom: 0.190
Calculated volume, Å³/cell: 208.2
Total magnetic moment, μB/cell: 0.00
Formation energy (no corrections), eV/f.u.: 1.83

Unit cell a=5.8618 b=5.8618 c=6.0589 alpha=90.00 beta=90.00 gamma=90.00
Closest atoms and distances in Å follow each position.
Space group P4/mmm (No. 123)
Unique sites:
La: 0.0000 0.0000 0.0000 (multiplicity 1)  4 Ag 2.93, 2 Te 3.03
Ga: 0.5000 0.5000 0.5000 (multiplicity 1)  4 Te 4.14, 8 Ag 4.22
Ag: 0.0000 0.5000 0.0000 (multiplicity 2)  2 La 2.93
Te: 0.0000 0.0000 0.5000 (multiplicity 1)  2 La 3.03

5.
A plane-wave DFT calculation with GGA-PBE was carried out for LaTi2GaAg after structural relaxation.

DFT total energy, eV per formula unit: -19.97
D(E_F), states/eV per atom: 1.496
Calculated volume, Å³/cell: 129.2
Total magnetic moment, μB/cell: 0.00

Unit cell a=4.8509 b=4.8509 c=5.4887 alpha=90.00 beta=90.00 gamma=90.00
Closest atoms and distances in Å follow each position.
Space group P4/mmm (No. 123)
Unique sites:
La: 0.0000 0.0000 0.0000 (multiplicity 1)  4 Ti 2.43
Ti: 0.0000 0.5000 0.0000 (multiplicity 2)  2 La 2.43
Ga: 0.0000 0.0000 0.5000 (multiplicity 1)  2 La 2.74
Ag: 0.5000 0.5000 0.5000 (multiplicity 1)  4 Ga 3.43, 8 Ti 3.66

6.
A plane-wave DFT calculation with GGA-PBE was carried out for La4TlGaAg2 after structural relaxation.

DFT total energy, eV per formula unit: -33.87
D(E_F), states/eV per atom: 1.051
Calculated volume, Å³/cell: 690.1
Total magnetic moment, μB/cell: 1.29

Unit cell a=5.4542 b=5.4542 c=26.7879 alpha=90.00 beta=90.00 gamma=120.00
Closest atoms and distances in Å follow each position.
Space group R-3m (No. 166, hexagonal axes)
Unique sites:
La: 0.0000 0.0000 0.1195 (multiplicity 6)  1 Ga 3.20, 4 Ag 3.25-3.35, 3 Tl 3.39
La: 0.0000 0.0000 0.3693 (multiplicity 6)  3 Ga 3.29, 4 Ag 3.34-3.45, 1 Tl 3.50
Tl: 0.0000 0.0000 0.5000 (multiplicity 3)  8 La 3.39-3.50, 6 Ag 3.78
Ga: 0.0000 0.0000 0.0000 (multiplicity 3)  8 La 3.20-3.29
Ag: 0.0000 0.0000 0.2444 (multiplicity 6)  8 La 3.25-3.45

7.
A plane-wave DFT calculation with GGA-PBE was carried out for LaYGaAg after structural relaxation.

DFT total energy, eV per formula unit: -19.00
D(E_F), states/eV per atom: 0.924
Calculated volume, Å³/cell: 413.3
Total magnetic moment, μB/cell: 0.00

Unit cell a=7.4489 b=7.4489 c=7.4489 alpha=90.00 beta=90.00 gamma=90.00
Closest atoms and distances in Å follow each position.
Space group F-43m (No. 216)
Unique sites:
La: 0.0000 0.0000 0.0000 (multiplicity 4)  4 Ga 3.23, 4 Ag 3.23
Y: 0.0000 0.0000 0.5000 (multiplicity 4)  4 Ga 3.23, 4 Ag 3.23
Ga: 0.2500 0.2500 0.2500 (multiplicity 4)  4 La 3.23, 4 Y 3.23
Ag: 0.2500 0.2500 0.7500 (multiplicity 4)  4 La 3.23, 4 Y 3.23

8.
A plane-wave DFT calculation with GGA-PBE was carried out for La2Zn4GaAg3 after structural relaxation.

DFT total energy, eV per formula unit: -29.42
D(E_F), states/eV per atom: 0.659
Calculated volume, Å³/cell: 212.4
Total magnetic moment, μB/cell: 0.00

Unit cell a=4.3855 b=4.3855 c=11.0445 alpha=90.00 beta=90.00 gamma=90.00
Closest atoms and distances in Å follow each position.
Space group P-4m2 (No. 115)
Unique sites:
La: 0.0000 0.5000 0.2433 (multiplicity 2)  8 Zn 3.34-3.58, 6 Ag 3.38-3.47, 2 Ga 3.47
Zn: 0.0000 0.0000 0.5000 (multiplicity 1)  4 Ag 2.65
Zn: 0.0000 0.5000 0.8690 (multiplicity 2)  3 Ag 2.58-2.63, 2 Ga 2.63
Zn: 0.5000 0.5000 0.5000 (multiplicity 1)  4 Ag 2.65
Ga: 0.5000 0.5000 0.0000 (multiplicity 1)  4 Zn 2.63
Ag: 0.0000 0.0000 0.0000 (multiplicity 1)  4 Zn 2.63
Ag: 0.0000 0.5000 0.6353 (multiplicity 2)  5 Zn 2.58-2.65

9.
A plane-wave DFT calculation with GGA-PBE was carried out for La3ZnGa2Ag6 after structural relaxation.

DFT total energy, eV per formula unit: -40.95
D(E_F), states/eV per atom: 0.664
Calculated volume, Å³/cell: 285.0
Total magnetic moment, μB/cell: 0.00

Unit cell a=6.0665 b=6.0665 c=8.9412 alpha=90.00 beta=90.00 gamma=120.00
Closest atoms and distances in Å follow each position.
Space group P-3m1 (No. 164)
Unique sites:
La: 0.0000 0.0000 0.0000 (multiplicity 1)  6 Ag 3.09
La: 0.3333 0.6667 0.6203 (multiplicity 2)  9 Ag 3.17-3.49, 1 Ga 3.48
Zn: 0.0000 0.0000 0.5000 (multiplicity 1)  6 Ag 2.73
Ga: 0.3333 0.6667 0.0094 (multiplicity 2)  3 Ag 2.90
Ag: 0.1766 0.3531 0.2768 (multiplicity 6)  1 Zn 2.73, 2 Ag 2.85, 1 Ga 2.90

10.
A plane-wave DFT calculation with GGA-PBE was carried out for LaZnGa2Ag after structural relaxation.

DFT total energy, eV per formula unit: -17.44
D(E_F), states/eV per atom: 0.513
Calculated volume, Å³/cell: 207.6
Total magnetic moment, μB/cell: 0.00

Unit cell a=4.4098 b=4.4098 c=10.6741 alpha=90.00 beta=90.00 gamma=90.00
Closest atoms and distances in Å follow each position.
Space group I-4m2 (No. 119)
Unique sites:
La: 0.0000 0.0000 0.0000 (multiplicity 2)  8 Ga 3.36, 4 Ag 3.46, 4 Zn 3.46
Zn: 0.0000 0.5000 0.2500 (multiplicity 2)  4 Ga 2.63
Ga: 0.0000 0.0000 0.3837 (multiplicity 4)  1 Ga 2.48, 2 Zn 2.63, 2 Ag 2.63
Ag: 0.0000 0.5000 0.7500 (multiplicity 2)  4 Ga 2.63

11.
A plane-wave DFT calculation with GGA-PBE was carried out for La2Zn3Ga4Ag after structural relaxation.

DFT total energy, eV per formula unit: -33.45
D(E_F), states/eV per atom: 0.399
Calculated volume, Å³/cell: 203.6
Total magnetic moment, μB/cell: 0.00

Unit cell a=4.3630 b=4.3630 c=10.6934 alpha=90.00 beta=90.00 gamma=90.00
Closest atoms and distances in Å follow each position.
Space group P-4m2 (No. 115)
Unique sites:
La: 0.0000 0.5000 0.2459 (multiplicity 2)  6 Zn 3.32-3.48, 8 Ga 3.33-3.42, 2 Ag 3.48
Zn: 0.0000 0.5000 0.8679 (multiplicity 2)  5 Ga 2.48-2.60
Zn: 0.5000 0.5000 0.5000 (multiplicity 1)  4 Ga 2.62
Ga: 0.0000 0.0000 0.0000 (multiplicity 1)  4 Zn 2.60
Ga: 0.0000 0.5000 0.6358 (multiplicity 2)  3 Zn 2.48-2.62, 2 Ag 2.62
Ga: 0.5000 0.5000 0.0000 (multiplicity 1)  4 Zn 2.60
Ag: 0.0000 0.0000 0.5000 (multiplicity 1)  4 Ga 2.62